[1]
Compound: Zr3TlZn
Source: Alexandria via LeMat-Bulk
Functional: PBE
Structure: relaxed

abc: 4.9947 4.9947 4.9947
angles: 90.00 90.00 90.00
Closest atoms and distances in Å follow each position.
Positions (direct):
Zr1 0.0000 0.0000 0.5000  2 Zn 2.50
Zr2 0.5000 0.0000 0.0000  2 Zn 2.50
Zr3 0.0000 0.5000 0.0000  2 Zn 2.50
Zn1 0.0000 0.0000 0.0000  6 Zr 2.50
Tl1 0.5000 0.5000 0.5000  12 Zr 3.53

Computed properties:
* energy relative to the lowest polymorph listed for this composition: 0.275 eV per atom
* total magnetization: 0.0 Bohr magnetons per cell
* ΔE_f: 0.4016 eV per atom
* Fermi-level density of states: 1.15 states/eV per atom

=====

[2]
Compound: PmTmCd
Source: Alexandria via LeMat-Bulk
Functional: PBE
Structure: relaxed

abc: 5.1141 5.4259 7.0182
angles: 90.00 90.00 90.00
Closest atoms and distances in Å follow each position.
Positions (direct):
Tm1 0.5000 0.9992 0.2500  4 Cd 3.10
Tm2 0.5000 0.0008 0.7500  4 Cd 3.10
Cd1 0.0000 0.0000 0.5000  4 Tm 3.10, 4 Pm 3.23
Cd2 0.0000 0.0000 0.0000  4 Tm 3.10, 4 Pm 3.23
Pm1 0.0000 0.4996 0.2500  4 Cd 3.23, 2 Pm 3.51
Pm2 0.0000 0.5004 0.7500  4 Cd 3.23, 2 Pm 3.51

Computed properties:
* energy relative to the lowest polymorph listed for this composition: 0.302 eV per atom
* total magnetization: 1.2 Bohr magnetons per cell
* ΔE_f: 0.1107 eV per atom
* Fermi-level density of states: 1.39 states/eV per atom

=====

[3]
Compound: LiSbCl2
Source: Alexandria via LeMat-Bulk
Functional: PBE
Structure: relaxed

abc: 7.1677 6.0342 3.5253
angles: 65.30 102.22 130.98
Closest atoms and distances in Å follow each position.
Positions (direct):
Li1 0.0000 0.5000 0.5000  4 Cl 2.79
Cl1 0.0000 0.0000 0.0000  2 Li 2.79, 2 Sb 2.79
Cl2 0.5000 0.0000 0.5000  2 Sb 2.79, 2 Li 2.79
Sb1 0.5000 0.5000 0.0000  4 Cl 2.79

Computed properties:
* energy relative to the lowest polymorph listed for this composition: 0.394 eV per atom
* total magnetization: 0.0 Bohr magnetons per cell
* formation energy from raw total energies: -0.68 eV per atom
* Fermi-level density of states: 0.41 states/eV per atom

=====

[4]
Compound: LaAl2Tl
Source: Alexandria via LeMat-Bulk
Functional: PBE
Structure: relaxed

abc: 4.5344 4.5344 6.3375
angles: 68.99 68.99 60.02
Closest atoms and distances in Å follow each position.
Positions (direct):
Al1 0.7081 0.7081 0.8759  3 Al 2.62
Al2 0.0323 0.0323 0.9031  3 Al 2.62
La1 0.4863 0.4863 0.5417  6 Al 3.25-3.35, 3 Tl 3.35-3.36
Tl1 0.2732 0.2732 0.1793  6 Al 3.06-3.15, 3 La 3.35-3.36

Computed properties:
* energy relative to the lowest polymorph listed for this composition: 0.000 eV per atom
* total magnetization: 0.0 Bohr magnetons per cell
* ΔE_f: -0.2683 eV per atom
* Fermi-level density of states: 0.31 states/eV per atom

=====

[5]
Compound: ScTa3Co
Source: Alexandria via LeMat-Bulk
Functional: PBE
Structure: relaxed

abc: 4.6694 4.6694 4.6694
angles: 90.00 90.00 90.00
Closest atoms and distances in Å follow each position.
Positions (direct):
Co1 0.5000 0.5000 0.5000  12 Ta 3.30
Ta1 0.0000 0.0000 0.5000  2 Sc 2.33
Ta2 0.5000 0.0000 0.0000  2 Sc 2.33
Ta3 0.0000 0.5000 0.0000  2 Sc 2.33
Sc1 0.0000 0.0000 0.0000  6 Ta 2.33

Computed properties:
* energy relative to the lowest polymorph listed for this composition: 1.663 eV per atom
* total magnetization: 0.0 Bohr magnetons per cell
* ΔE_f: 2.2402 eV per atom
* Fermi-level density of states: 2.14 states/eV per atom

=====

[6]
Compound: SrTcIO6
Source: Alexandria via LeMat-Bulk
Functional: PBE
Structure: relaxed

abc: 5.4103 5.4116 5.3713
angles: 90.00 90.01 60.00
Closest atoms and distances in Å follow each position.
Positions (direct):
Tc1 0.6665 0.6668 0.5001  6 O 2.00-2.01
O1 0.3747 0.6324 0.2957  1 Tc 2.01, 1 I 2.06
O2 0.6324 0.9925 0.2956  1 Tc 2.01, 1 I 2.06
O3 0.3748 0.9924 0.7043  1 Tc 2.00, 1 I 2.06
O4 0.9926 0.6327 0.7043  1 Tc 2.01, 1 I 2.06
O5 0.6328 0.3749 0.7043  1 Tc 2.00, 1 I 2.06
O6 0.9927 0.3749 0.2957  1 Tc 2.01, 1 I 2.06
I1 0.3332 0.3334 0.4999  6 O 2.06
Sr1 0.9999 0.0001 0.0000  6 O 2.56

Computed properties:
* total magnetization: 2.0 Bohr magnetons per cell
* formation energy from raw total energies: -1.35 eV per atom

=====

[7]
Compound: HoIn2SbO8
Source: Alexandria via LeMat-Bulk
Functional: PBE
Structure: relaxed

abc: 4.9194 4.9248 6.8090
angles: 90.00 90.00 90.18
Closest atoms and distances in Å follow each position.
Positions (direct):
O1 0.1867 0.8112 0.7763  1 Sb 2.01, 1 In 2.18
O2 0.2911 0.2890 0.0000  1 Sb 2.02, 2 In 2.21
O3 0.7089 0.7110 0.0000  1 Sb 2.02, 2 In 2.21
O4 0.8133 0.1887 0.7763  1 Sb 2.01, 1 In 2.18
O5 0.1867 0.8113 0.2237  1 Sb 2.01, 1 In 2.18
O6 0.8133 0.1888 0.2237  1 Sb 2.01, 1 In 2.18
O7 0.3172 0.3140 0.5000  2 In 2.17, 1 Ho 2.19
O8 0.6828 0.6860 0.5000  2 In 2.17, 1 Ho 2.19
Sb1 0.0000 0.0000 0.0000  6 O 2.01-2.02
In1 0.5000 0.5000 0.7571  6 O 2.17-2.21
In2 0.5000 0.5000 0.2429  6 O 2.17-2.21
Ho1 0.0000 0.0000 0.5000  6 O 2.19-2.29

Computed properties:
* total magnetization: 2.0 Bohr magnetons per cell
* formation energy from raw total energies: -1.63 eV per atom
* Fermi-level density of states: 0.69 states/eV per atom

=====

[8]
Compound: Ho3InPt2
Source: Alexandria via LeMat-Bulk
Functional: PBE
Structure: relaxed

abc: 3.5180 3.5180 11.0970
angles: 90.00 90.00 90.00
Closest atoms and distances in Å follow each position.
Positions (direct):
Pt1 0.5000 0.5000 0.1603  8 Ho 2.97-3.06
Pt2 0.5000 0.5000 0.8397  8 Ho 2.97-3.06
In1 0.5000 0.5000 0.5000  8 Ho 3.29, 4 In 3.52
Ho1 0.0000 0.0000 0.3064  4 Pt 2.97, 4 In 3.29
Ho2 0.0000 0.0000 0.0000  8 Pt 3.06, 2 Ho 3.40
Ho3 0.0000 0.0000 0.6936  4 Pt 2.97, 4 In 3.29

Computed properties:
* total magnetization: 0.0 Bohr magnetons per cell
* ΔE_f: -0.9956 eV per atom
* Fermi-level density of states: 0.37 states/eV per atom

=====

[9]
Compound: CaSnHg2
Source: Alexandria via LeMat-Bulk
Functional: PBE
Structure: relaxed

abc: 4.6661 4.6661 11.1618
angles: 77.94 77.94 90.00
Closest atoms and distances in Å follow each position.
Positions (direct):
Ca1 0.2500 0.7500 0.5000  4 Hg 3.17, 4 Sn 3.30
Ca2 0.5000 0.5000 0.0000  4 Hg 3.17, 4 Sn 3.30
Hg1 0.8750 0.8925 0.7500  2 Sn 3.11, 2 Ca 3.17, 4 Hg 3.19-3.42
Hg2 0.3750 0.3575 0.7500  2 Sn 3.11, 2 Ca 3.17, 4 Hg 3.19-3.42
Hg3 0.6425 0.1250 0.2500  2 Sn 3.11, 2 Ca 3.17, 4 Hg 3.19-3.42
Hg4 0.1075 0.6250 0.2500  2 Sn 3.11, 2 Ca 3.17, 4 Hg 3.19-3.42
Sn1 0.7500 0.2500 0.5000  4 Hg 3.11, 4 Ca 3.30
Sn2 0.0000 0.0000 0.0000  4 Hg 3.11, 4 Ca 3.30

Computed properties:
* total magnetization: 0.0 Bohr magnetons per cell
* ΔE_f: -0.2292 eV per atom
* Fermi-level density of states: 0.47 states/eV per atom

=====

[10]
Compound: DyTh2Os
Source: Alexandria via LeMat-Bulk
Functional: PBE
Structure: relaxed

abc: 6.3047 7.2767 9.8386
angles: 90.00 90.00 90.00
Closest atoms and distances in Å follow each position.
Positions (direct):
Th1 0.3329 0.1705 0.0619  2 Os 2.84-2.85
Th2 0.8329 0.3295 0.5619  2 Os 2.84-2.85
Th3 0.8329 0.3295 0.9381  2 Os 2.84-2.85
Th4 0.3329 0.1705 0.4381  2 Os 2.84-2.85
Th5 0.6671 0.8295 0.9381  2 Os 2.84-2.85
Th6 0.1671 0.6705 0.0619  2 Os 2.84-2.85
Th7 0.6671 0.8295 0.5619  2 Os 2.84-2.85
Th8 0.1671 0.6705 0.4381  2 Os 2.84-2.85
Os1 0.4092 0.8812 0.2500  4 Th 2.84-2.85, 2 Dy 2.91-3.03
Os2 0.0908 0.3812 0.2500  4 Th 2.84-2.85, 2 Dy 2.91-3.03
Os3 0.9092 0.6188 0.7500  4 Th 2.84-2.85, 2 Dy 2.91-3.03
Os4 0.5908 0.1188 0.7500  4 Th 2.84-2.85, 2 Dy 2.91-3.03
Dy1 0.8540 0.0384 0.2500  2 Os 2.91-3.03
Dy2 0.3540 0.4616 0.7500  2 Os 2.91-3.03
Dy3 0.1460 0.9616 0.7500  2 Os 2.91-3.03
Dy4 0.6460 0.5384 0.2500  2 Os 2.91-3.03

Computed properties:
* energy relative to the lowest polymorph listed for this composition: 0.000 eV per atom
* total magnetization: 0.0 Bohr magnetons per cell
* ΔE_f: -0.2262 eV per atom
* Fermi-level density of states: 1.18 states/eV per atom